ScTiCdTc | PBE | optimized geometry

a b c (Å): 4.6525 4.6525 4.6525
angles (deg): 60.00 60.00 60.00
Closest atoms and distances in Å follow each position.
Positions (direct):
Sc  0.7500  0.7500  0.7500  4 Tc 2.85, 4 Cd 2.85
Cd  0.0000  0.0000  0.0000  4 Sc 2.85, 4 Ti 2.85
Tc  0.5000  0.5000  0.5000  4 Ti 2.85, 4 Sc 2.85
Ti  0.2500  0.2500  0.2500  4 Cd 2.85, 4 Tc 2.85

Values from the calculation:
Space-group type: No. 216
Formation energy in eV per atom: -0.158
E_tot in eV/atom: -6.54

YScCdTc | PBE | optimized geometry

a b c (Å): 4.9161 4.9161 4.9161
angles (deg): 60.00 60.00 60.00
Closest atoms and distances in Å follow each position.
Positions (direct):
Sc  0.5000  0.5000  0.5000  4 Cd 3.01, 4 Tc 3.01
Cd  0.7500  0.7500  0.7500  4 Sc 3.01, 4 Y 3.01
Tc  0.2500  0.2500  0.2500  4 Y 3.01, 4 Sc 3.01
Y  0.0000  0.0000  0.0000  4 Tc 3.01, 4 Cd 3.01

Values from the calculation:
Space-group type: No. 216
Formation energy in eV per atom: -0.120
E_tot in eV/atom: -6.14

ScCdTe | PBE | optimized geometry

a b c (Å): 5.0153 5.0153 5.0153
angles (deg): 60.00 60.00 60.00
Closest atoms and distances in Å follow each position.
Positions (direct):
Cd  0.0000  0.0000  0.0000  4 Te 3.07
Te  0.2500  0.2500  0.2500  4 Sc 3.07, 4 Cd 3.07
Sc  0.5000  0.5000  0.5000  4 Te 3.07

Values from the calculation:
Space-group type: No. 216
E_tot in eV/atom: -3.57

ScCdTe | PBE | optimized geometry

a b c (Å): 3.9487 3.9487 6.3546
angles (deg): 90.00 90.00 120.00
Closest atoms and distances in Å follow each position.
Positions (direct):
Cd  0.0000  0.0000  0.0213  3 Sc 3.12, 3 Te 3.41
Te  0.3333  0.6667  0.6231  3 Sc 2.84
Sc  0.6667  0.3333  0.3556  3 Te 2.84, 3 Cd 3.12

Values from the calculation:
Space-group type: No. 156
E_tot in eV/atom: -3.91

Q: Number 3 is which compound?
A: ScCdTe

What did the first record say?
ScTiCdTc | PBE | optimized geometry

a b c (Å): 4.6525 4.6525 4.6525
angles (deg): 60.00 60.00 60.00
Closest atoms and distances in Å follow each position.
Positions (direct):
Sc  0.7500  0.7500  0.7500  4 Tc 2.85, 4 Cd 2.85
Cd  0.0000  0.0000  0.0000  4 Sc 2.85, 4 Ti 2.85
Tc  0.5000  0.5000  0.5000  4 Ti 2.85, 4 Sc 2.85
Ti  0.2500  0.2500  0.2500  4 Cd 2.85, 4 Tc 2.85

Values from the calculation:
Space-group type: No. 216
Formation energy in eV per atom: -0.158
E_tot in eV/atom: -6.54